1.
Entry from the Alexandria database: crystalline DyThCoRh at its relaxed geometry (GGA-PBE).

The calculation puts the total magnetic moment at 0.000 μB per cell. As for the density of states at the Fermi level: 3.16 states/eV/cell. For the energy of formation from the pure elements, the calculation gives -458 meV per atom.

Cell lengths 4.8965, 4.8965, 4.8965 Å; angles 60.00, 60.00, 60.00 degrees
Last column: nearest neighbours and their distance in Å.
Fractional coordinates of all 4 atoms:
Dy (0.0000, 0.0000, 0.0000)  4 Co 3.00, 4 Rh 3.00
Th (0.5000, 0.5000, 0.5000)  4 Co 3.00, 4 Rh 3.00
Co (0.7500, 0.7500, 0.7500)  4 Th 3.00, 4 Dy 3.00
Rh (0.2500, 0.2500, 0.2500)  4 Dy 3.00, 4 Th 3.00

2.
Entry from the Alexandria database: crystalline Tb12Sm6Tm at its relaxed geometry (GGA-PBE).

The calculation puts the total magnetic moment at 0.000 μB per cell. As for the density of states at the Fermi level: 31.26 states/eV/cell. For the energy of formation from the pure elements, the calculation gives 148 meV per atom.

Cell lengths 8.5719, 8.5719, 8.5719 Å; angles 88.79, 88.79, 88.79 degrees
Last column: nearest neighbours and their distance in Å.
Fractional coordinates of all 19 atoms:
Tb (0.0140, 0.2017, 0.3561)  4 Tb 3.43-3.58, 4 Sm 3.51-3.70, 1 Tm 3.55
Tb (0.2017, 0.3561, 0.0140)  4 Tb 3.43-3.58, 4 Sm 3.51-3.70, 1 Tm 3.55
Tb (0.2244, 0.4603, 0.5625)  6 Tb 3.29-3.60, 3 Sm 3.34-3.44
Tb (0.3561, 0.0140, 0.2017)  4 Tb 3.43-3.58, 4 Sm 3.51-3.70, 1 Tm 3.55
Tb (0.4375, 0.7756, 0.5397)  6 Tb 3.29-3.60, 3 Sm 3.34-3.44
Tb (0.4603, 0.5625, 0.2244)  6 Tb 3.29-3.60, 3 Sm 3.34-3.44
Tb (0.5397, 0.4375, 0.7756)  6 Tb 3.29-3.60, 3 Sm 3.34-3.44
Tb (0.5625, 0.2244, 0.4603)  6 Tb 3.29-3.60, 3 Sm 3.34-3.44
Tb (0.6439, 0.9860, 0.7983)  4 Tb 3.43-3.58, 4 Sm 3.51-3.70, 1 Tm 3.55
Tb (0.7756, 0.5397, 0.4375)  6 Tb 3.29-3.60, 3 Sm 3.34-3.44
Tb (0.7983, 0.6439, 0.9860)  4 Tb 3.43-3.58, 4 Sm 3.51-3.70, 1 Tm 3.55
Tb (0.9860, 0.7983, 0.6439)  4 Tb 3.43-3.58, 4 Sm 3.51-3.70, 1 Tm 3.55
Sm (0.0921, 0.6928, 0.2591)  7 Tb 3.34-3.70, 1 Tm 3.50, 2 Sm 3.52
Sm (0.2591, 0.0921, 0.6928)  7 Tb 3.34-3.70, 1 Tm 3.50, 2 Sm 3.52
Sm (0.3072, 0.7409, 0.9079)  7 Tb 3.34-3.70, 1 Tm 3.50, 2 Sm 3.52
Sm (0.6928, 0.2591, 0.0921)  7 Tb 3.34-3.70, 1 Tm 3.50, 2 Sm 3.52
Sm (0.7409, 0.9079, 0.3072)  7 Tb 3.34-3.70, 1 Tm 3.50, 2 Sm 3.52
Sm (0.9079, 0.3072, 0.7409)  7 Tb 3.34-3.70, 1 Tm 3.50, 2 Sm 3.52
Tm (0.0000, 0.0000, 0.0000)  6 Sm 3.50, 6 Tb 3.55

3.
Entry from the Alexandria database: crystalline La4Sm4Er at its relaxed geometry (GGA-PBE).

The calculation puts the total magnetic moment at 0.000 μB per cell. As for the density of states at the Fermi level: 14.96 states/eV/cell. For the energy of formation from the pure elements, the calculation gives 448 meV per atom.

Cell lengths 12.9367, 12.6929, 5.3021 Å; angles 80.65, 75.49, 23.85 degrees
Last column: nearest neighbours and their distance in Å.
Fractional coordinates of all 9 atoms:
La (0.0000, 0.0000, 0.0000)  4 Sm 3.24-3.45, 2 La 3.42
La (0.2281, 0.2281, 0.2719)  2 La 3.31, 2 Er 3.48, 2 Sm 3.51
La (0.4640, 0.4640, 0.5360)  2 La 3.42, 2 Sm 3.52, 1 Er 3.53
La (0.7281, 0.7281, 0.7719)  2 La 3.31, 2 Er 3.48, 2 Sm 3.51
Sm (0.0463, 0.6978, 0.3022)  1 Sm 2.89, 1 Er 2.99
Sm (0.3704, 0.8542, 0.6296)  2 Sm 3.20-3.41, 3 La 3.24-3.51
Sm (0.6978, 0.0463, 0.9537)  1 Sm 2.89, 1 Er 2.99
Sm (0.8542, 0.3704, 0.1458)  2 Sm 3.20-3.41, 3 La 3.24-3.51
Er (0.3199, 0.3199, 0.6801)  2 Sm 2.99

Q: Which formula does entry 1 have?
A: DyThCoRh